(1)
Density functional theory data (PBE) for a relaxed NaScSi crystal.

uncorrected formation energy = -0.24 eV/atom
crystal system = monoclinic
magnetic moment = 0.000 μB/atom

a b c (Å): 4.793 4.793 6.836
angles (deg): 90.05 90.05 90.01
Element x y z (fractional)
Na: 0.250 0.250 0.127
Na: 0.750 0.750 0.873
Sc: 0.251 0.749 0.500
Sc: 0.751 0.249 0.500
Si: 0.251 0.250 0.685
Si: 0.750 0.749 0.315


(2)
Density functional theory data (PBE) for a relaxed In2GeOs crystal.

crystal system = orthorhombic
magnetic moment = 0.000 μB/atom
ΔH_f (0 K) = 116 meV per atom

a b c (Å): 5.332 5.332 5.332
angles (deg): 144.04 81.29 110.00
Element x y z (fractional)
In: 0.189 0.000 0.189
In: 0.811 0.000 0.811
Ge: 0.414 0.414 0.000
Os: 0.715 0.215 0.500


(3)
Density functional theory data (PBE) for a relaxed Er8CuSb2 crystal.

uncorrected formation energy = -0.36 eV/atom
crystal system = monoclinic
magnetic moment = 0.000 μB/atom

a b c (Å): 9.622 9.622 6.843
angles (deg): 101.23 101.23 29.01
Element x y z (fractional)
Er: 0.012 0.012 0.276
Er: 0.215 0.215 0.836
Er: 0.351 0.351 0.479
Er: 0.407 0.407 0.011
Er: 0.593 0.593 0.989
Er: 0.649 0.649 0.521
Er: 0.785 0.785 0.164
Er: 0.988 0.988 0.724
Cu: 0.500 0.500 0.500
Sb: 0.182 0.182 0.271
Sb: 0.818 0.818 0.729


(4)
Density functional theory data (PBE) for a relaxed HgPb12Au7 crystal.

crystal system = trigonal
magnetic moment = 0.000 μB/atom
ΔH_f (0 K) = -18 meV per atom

a b c (Å): 8.957 8.957 8.957
angles (deg): 110.36 110.36 110.36
Element x y z (fractional)
Hg: 0.000 0.000 0.000
Pb: 0.063 0.721 0.174
Pb: 0.154 0.417 0.586
Pb: 0.174 0.063 0.721
Pb: 0.279 0.826 0.937
Pb: 0.414 0.846 0.583
Pb: 0.417 0.586 0.154
Pb: 0.583 0.414 0.846
Pb: 0.586 0.154 0.417
Pb: 0.721 0.174 0.063
Pb: 0.826 0.937 0.279
Pb: 0.846 0.583 0.414
Pb: 0.937 0.279 0.826
Au: 0.133 0.422 0.250
Au: 0.250 0.133 0.422
Au: 0.422 0.250 0.133
Au: 0.500 0.500 0.500
Au: 0.578 0.750 0.867
Au: 0.750 0.867 0.578
Au: 0.867 0.578 0.750


(5)
Density functional theory data (PBE) for a relaxed AcPmS2 crystal.

uncorrected formation energy = -1.99 eV/atom
crystal system = hexagonal
magnetic moment = 0.000 μB/atom
energy above the lowest structure with this stoichiometry = 21.1 meV per atom

a b c (Å): 4.138 4.138 13.915
angles (deg): 90.00 90.00 120.00
Element x y z (fractional)
Ac: 0.333 0.667 0.250
Ac: 0.667 0.333 0.750
Pm: 0.000 0.000 0.000
Pm: 0.000 0.000 0.500
S: 0.333 0.667 0.615
S: 0.333 0.667 0.885
S: 0.667 0.333 0.115
S: 0.667 0.333 0.385


(6)
Density functional theory data (PBE) for a relaxed ZnRe2Ru crystal.

crystal system = cubic
magnetic moment = 0.000 μB/atom
ΔH_f (0 K) = 195 meV per atom

a b c (Å): 4.346 4.346 4.346
angles (deg): 60.00 60.00 60.00
Element x y z (fractional)
Zn: 0.000 0.000 0.000
Re: 0.500 0.500 0.500
Re: 0.750 0.750 0.750
Ru: 0.250 0.250 0.250


(7)
Density functional theory data (PBE) for a relaxed SmSi2TcMo crystal.

uncorrected formation energy = -0.53 eV/atom
crystal system = tetragonal
magnetic moment = 0.001 μB/atom

a b c (Å): 6.138 6.138 6.138
angles (deg): 141.46 141.46 55.65
Element x y z (fractional)
Sm: 0.000 0.000 0.000
Si: 0.385 0.385 0.000
Si: 0.615 0.615 0.000
Tc: 0.750 0.250 0.500
Mo: 0.250 0.750 0.500


(8)
Density functional theory data (PBE) for a relaxed La3PN crystal.

uncorrected formation energy = -1.10 eV/atom
crystal system = monoclinic
magnetic moment = 0.063 μB/atom

a b c (Å): 6.892 4.095 10.851
angles (deg): 90.00 97.94 90.00
Element x y z (fractional)
La: 0.159 0.250 0.109
La: 0.246 0.750 0.441
La: 0.281 0.250 0.769
La: 0.719 0.750 0.231
La: 0.754 0.250 0.559
La: 0.841 0.750 0.891
P: 0.472 0.250 0.334
P: 0.528 0.750 0.666
N: 0.023 0.250 0.884
N: 0.977 0.750 0.116


(9)
Density functional theory data (PBE) for a relaxed Na2Sn2Pd crystal.

crystal system = orthorhombic
magnetic moment = 0.000 μB/atom
ΔH_f (0 K) = -275 meV per atom

a b c (Å): 6.233 6.233 6.233
angles (deg): 137.29 124.24 72.70
Element x y z (fractional)
Na: 0.200 0.200 0.000
Na: 0.800 0.800 0.000
Sn: 0.245 0.500 0.745
Sn: 0.755 0.500 0.255
Pd: 0.500 0.000 0.500


(10)
Density functional theory data (PBE) for a relaxed CsLiTeI2 crystal.

uncorrected formation energy = -0.08 eV/atom
crystal system = tetragonal
magnetic moment = 0.416 μB/atom
energy above the lowest structure with this stoichiometry = 637.7 meV per atom

a b c (Å): 7.237 7.237 6.958
angles (deg): 90.00 90.00 90.00
Element x y z (fractional)
Cs: 0.000 0.000 0.000
Li: 0.500 0.500 0.500
Te: 0.000 0.000 0.500
I: 0.000 0.500 0.000
I: 0.500 0.000 0.000


(11)
Density functional theory data (PBE) for a relaxed Y3Er3Co4 crystal.

crystal system = orthorhombic
magnetic moment = 0.000 μB/atom
ΔH_f (0 K) = -159 meV per atom

a b c (Å): 4.158 7.177 7.177
angles (deg): 89.88 90.00 90.00
Element x y z (fractional)
Y: 0.000 0.000 0.000
Y: 0.500 0.329 0.829
Y: 0.500 0.829 0.329
Er: 0.000 0.157 0.500
Er: 0.000 0.500 0.157
Er: 0.000 0.656 0.656
Co: 0.500 0.222 0.222
Co: 0.500 0.443 0.443
Co: 0.500 0.714 0.936
Co: 0.500 0.936 0.714


(12)
Density functional theory data (PBE) for a relaxed Na2Sn5Br12 crystal.

uncorrected formation energy = -0.90 eV/atom
crystal system = monoclinic
magnetic moment = 0.000 μB/atom
energy above the lowest structure with this stoichiometry = 0.0 meV per atom

a b c (Å): 9.068 9.068 10.723
angles (deg): 108.47 108.47 56.93
Element x y z (fractional)
Na: 0.250 0.750 0.000
Na: 0.750 0.250 0.000
Sn: 0.000 0.000 0.500
Sn: 0.252 0.252 0.005
Sn: 0.340 0.340 0.636
Sn: 0.660 0.660 0.364
Sn: 0.748 0.748 0.995
Br: 0.069 0.541 0.852
Br: 0.070 0.070 0.830
Br: 0.114 0.631 0.500
Br: 0.369 0.886 0.500
Br: 0.459 0.931 0.148
Br: 0.483 0.483 0.184
Br: 0.517 0.517 0.816
Br: 0.541 0.069 0.852
Br: 0.631 0.114 0.500
Br: 0.886 0.369 0.500
Br: 0.930 0.930 0.170
Br: 0.931 0.459 0.148


Q: The highest magnetic moment belongs to which entry?
A: CsLiTeI2


Q: Number 1 is which compound?
A: NaScSi


Q: What is the formula in the twelfth record?
A: Na2Sn5Br12